No. 1
Compound: Cd2TeRu
Source: the Alexandria database
Functional: PBE-GGA
Structure: relaxed

POSCAR file:
```
Cd2TeRu
1.0
0.000 3.484 3.484
3.484 0.000 3.484
3.484 3.484 0.000
Ru Te Cd
1 1 2
direct
0.000 0.000 0.000
0.500 0.500 0.500
0.750 0.750 0.750
0.250 0.250 0.250
```

Values from the calculation:
- Final energy: -2.9871 eV per atom
- M_tot: 0.00 μB/cell
- Offset from the most stable computed form: 530 meV/atom
- Calculated volume: 84.6 Å³/cell
- Formation energy without anion corrections: 0.575 eV per atom

No. 2
Compound: Pr7Ga3
Source: the Alexandria database
Functional: PBE-GGA
Structure: relaxed

POSCAR file:
```
Pr7Ga3
1.0
-3.047 0.028 -5.580
4.716 -9.130 -2.622
-9.307 -0.108 5.082
Pr Ga
14 6
direct
0.165 0.076 0.538
0.399 0.755 0.878
0.399 0.122 0.878
0.665 0.538 0.462
0.899 0.878 0.122
0.399 0.122 0.245
0.665 0.924 0.462
0.165 0.462 0.538
0.665 0.538 0.076
0.165 0.462 0.924
0.624 0.333 0.667
0.124 0.667 0.333
0.899 0.878 0.755
0.899 0.245 0.122
0.864 0.619 0.810
0.864 0.190 0.810
0.364 0.810 0.190
0.364 0.810 0.619
0.364 0.381 0.190
0.864 0.190 0.381
```

Values from the calculation:
- Final energy: -4.5717 eV per atom
- Formation enthalpy at 0 K: -318 meV per atom
- M_tot: 0.00 μB/cell
- Calculated volume: 619.2 Å³/cell

No. 3
Compound: NaHgBi3
Source: the Alexandria database
Functional: PBE-GGA
Structure: relaxed

POSCAR file:
```
NaHgBi3
1.0
4.790 0.000 -1.031
-0.222 4.785 -1.031
-0.790 -0.828 7.968
Bi Hg Na
3 1 1
direct
0.395 0.895 0.790
0.895 0.395 0.790
0.243 0.243 0.487
0.040 0.040 0.079
0.604 0.604 0.208
```

Values from the calculation:
- Final energy: -2.6558 eV per atom
- Formation enthalpy at 0 K: -3 meV per atom
- M_tot: 0.00 μB/cell
- Offset from the most stable computed form: 54 meV/atom
- Calculated volume: 174.4 Å³/cell

No. 4
Compound: KPbSeO5
Source: the Alexandria database
Functional: PBE-GGA
Structure: relaxed

POSCAR file:
```
KPbSeO5
1.0
6.398 0.061 -0.008
-1.809 6.137 -0.008
-1.914 -2.585 7.318
O Se Pb K
10 2 2 2
direct
0.258 0.421 0.593
0.330 0.875 0.641
0.875 0.330 0.141
0.579 0.742 0.907
0.421 0.258 0.093
0.742 0.579 0.407
0.125 0.670 0.859
0.670 0.125 0.359
0.933 0.067 0.750
0.067 0.933 0.250
0.679 0.321 0.250
0.321 0.679 0.750
0.000 0.000 0.500
0.000 0.000 0.000
0.669 0.331 0.750
0.331 0.669 0.250
```

Values from the calculation:
- Final energy: -5.1896 eV per atom
- M_tot: 0.00 μB/cell
- Calculated volume: 287.8 Å³/cell
- Formation energy without anion corrections: -1.054 eV per atom

No. 5
Compound: BaPdSeI2
Source: the Alexandria database
Functional: PBE-GGA
Structure: relaxed

POSCAR file:
```
BaPdSeI2
1.0
6.642 0.000 0.000
0.000 5.840 0.000
0.000 0.000 6.642
I Se Ba Pd
2 1 1 1
direct
0.500 0.000 0.000
0.000 0.000 0.500
0.500 0.500 0.500
0.000 0.000 0.000
0.000 0.500 0.000
```

Values from the calculation:
- Final energy: -2.5648 eV per atom
- M_tot: 2.00 μB/cell
- Calculated volume: 257.6 Å³/cell
- Formation energy without anion corrections: 0.175 eV per atom

No. 6
Compound: Th3Ga2Co9
Source: the Alexandria database
Functional: PBE-GGA
Structure: relaxed

POSCAR file:
```
Th3Ga2Co9
1.0
4.052 0.000 0.000
2.026 7.665 0.385
2.026 2.113 7.378
Co Ga Th
9 2 3
direct
0.000 0.500 0.500
0.305 0.996 0.395
0.890 0.841 0.379
0.110 0.621 0.159
0.305 0.395 0.996
0.695 0.004 0.605
0.890 0.379 0.841
0.110 0.159 0.621
0.695 0.605 0.004
0.500 0.288 0.712
0.500 0.712 0.288
0.000 0.000 0.000
0.701 0.299 0.299
0.299 0.701 0.701
```

Values from the calculation:
- Final energy: -6.8006 eV per atom
- Formation enthalpy at 0 K: -210 meV per atom
- M_tot: 7.94 μB/cell
- Calculated volume: 225.9 Å³/cell